Record 1
Compound: Pm2Zn3AgAu4
Source: Alexandria
Functional: GGA-PBE
Structure: relaxed

```
data_Pm2Zn3AgAu4
_symmetry_space_group_name_H-M 'P 1'
_symmetry_Int_Tables_number 1
_cell_length_a 4.1415
_cell_length_b 4.1415
_cell_length_c 12.1014
_cell_angle_alpha 90.00
_cell_angle_beta 90.00
_cell_angle_gamma 90.00
loop_
_symmetry_equiv_pos_as_xyz
'x,y,z'
loop_
_atom_site_label
_atom_site_type_symbol
_atom_site_fract_x
_atom_site_fract_y
_atom_site_fract_z
Pm1 Pm 0.0000 0.5000 0.2444
Pm2 Pm 0.5000 0.0000 0.7556
Zn1 Zn 0.0000 0.5000 0.8663
Zn2 Zn 0.5000 0.0000 0.1337
Zn3 Zn 0.5000 0.5000 0.5000
Ag1 Ag 0.0000 0.0000 0.5000
Au1 Au 0.0000 0.0000 0.0000
Au2 Au 0.0000 0.5000 0.6556
Au3 Au 0.5000 0.0000 0.3444
Au4 Au 0.5000 0.5000 0.0000
```

- Formation enthalpy at 0 K: -0.465 eV/atom
- Total magnetic moment: 0.000 μB/f.u.
- Volume: 20.76 Å³ per atom
- DOS at the Fermi energy: 4.655 states/eV/f.u.
- Space group: P-4m2

=====

Record 2
Compound: FeTeMo2
Source: Alexandria
Functional: GGA-PBE
Structure: relaxed

```
data_FeTeMo2
_symmetry_space_group_name_H-M 'P 1'
_symmetry_Int_Tables_number 1
_cell_length_a 4.5055
_cell_length_b 4.5055
_cell_length_c 4.5055
_cell_angle_alpha 60.00
_cell_angle_beta 60.00
_cell_angle_gamma 60.00
loop_
_symmetry_equiv_pos_as_xyz
'x,y,z'
loop_
_atom_site_label
_atom_site_type_symbol
_atom_site_fract_x
_atom_site_fract_y
_atom_site_fract_z
Fe1 Fe 0.0000 0.0000 0.0000
Te1 Te 0.2500 0.2500 0.2500
Mo1 Mo 0.5000 0.5000 0.5000
Mo2 Mo 0.7500 0.7500 0.7500
```

- Total magnetic moment: 2.897 μB/f.u.
- Volume: 16.17 Å³ per atom
- ΔE_f (raw): 0.503 eV per atom
- DOS at the Fermi energy: 3.202 states/eV/f.u.
- Excess energy over the best structure of this formula in the dataset: 0.74 eV/f.u.
- Space group: F-43m

=====

Record 3
Compound: Zr4SiHg
Source: Alexandria
Functional: GGA-PBE
Structure: relaxed

```
data_Zr4SiHg
_symmetry_space_group_name_H-M 'P 1'
_symmetry_Int_Tables_number 1
_cell_length_a 5.7066
_cell_length_b 5.7066
_cell_length_c 5.7066
_cell_angle_alpha 60.00
_cell_angle_beta 60.00
_cell_angle_gamma 60.00
loop_
_symmetry_equiv_pos_as_xyz
'x,y,z'
loop_
_atom_site_label
_atom_site_type_symbol
_atom_site_fract_x
_atom_site_fract_y
_atom_site_fract_z
Zr1 Zr 0.3756 0.3756 0.3756
Zr2 Zr 0.3756 0.3756 0.8731
Zr3 Zr 0.3756 0.8731 0.3756
Zr4 Zr 0.8731 0.3756 0.3756
Si1 Si 0.7500 0.7500 0.7500
Hg1 Hg 0.0000 0.0000 0.0000
```

- Total magnetic moment: 0.000 μB/f.u.
- Volume: 21.90 Å³ per atom
- ΔE_f (raw): 0.351 eV per atom
- DOS at the Fermi energy: 5.775 states/eV/f.u.
- Space group: F-43m